Entry 1:
{"formula": "Sr2ReOs", "functional": "PBE-GGA", "state": "optimized geometry", "crystal_system": "cubic", "magnetic_moment_mub_per_atom": 0.00, "dos_at_fermi_per_ev_atom": 1.22, "total_energy_ev_per_cell": -22.29, "ef_ev_per_fu": 4.75, "cell": [[0.0000, 3.5164, 3.5164], [3.5164, 0.0000, 3.5164], [3.5164, 3.5164, 0.0000]], "species": ["Sr", "Sr", "Re", "Os"], "frac_coords": [[0.0000, 0.0000, 0.0000], [0.2500, 0.2500, 0.2500], [0.7500, 0.7500, 0.7500], [0.5000, 0.5000, 0.5000]]}

---

Entry 2:
{"formula": "Sr2ReOs", "functional": "PBE-GGA", "state": "optimized geometry", "crystal_system": "cubic", "magnetic_moment_mub_per_atom": 0.84, "dos_at_fermi_per_ev_atom": 1.26, "total_energy_ev_per_cell": -20.92, "ef_ev_per_fu": 6.13, "cell": [[0.0000, 3.6587, 3.6587], [3.6587, 0.0000, 3.6587], [3.6587, 3.6587, 0.0000]], "species": ["Sr", "Sr", "Re", "Os"], "frac_coords": [[0.2500, 0.2500, 0.2500], [0.7500, 0.7500, 0.7500], [0.0000, 0.0000, 0.0000], [0.5000, 0.5000, 0.5000]]}

---

Entry 3:
{"formula": "SrReOs2", "functional": "PBE-GGA", "state": "optimized geometry", "crystal_system": "monoclinic", "magnetic_moment_mub_per_atom": 0.00, "dos_at_fermi_per_ev_atom": 1.09, "total_energy_ev_per_cell": -33.26, "ef_ev_per_fu": 3.33, "cell": [[2.8456, 0.0000, 0.0000], [0.0000, 4.2159, 0.0000], [-1.3309, 0.0000, 6.6589]], "species": ["Sr", "Re", "Os", "Os"], "frac_coords": [[0.0000, 0.0000, 0.0000], [0.2748, 0.5000, 0.6302], [0.6456, 0.5000, 0.2890], [0.6608, 0.0000, 0.5131]]}

---

Entry 4:
{"formula": "SrReOs2", "functional": "PBE-GGA", "state": "optimized geometry", "crystal_system": "monoclinic", "magnetic_moment_mub_per_atom": 0.00, "dos_at_fermi_per_ev_atom": 1.26, "total_energy_ev_per_cell": -33.51, "ef_ev_per_fu": 3.08, "cell": [[4.7256, -1.4522, 0.0000], [4.7256, 1.4522, 0.0000], [-1.1578, 0.0000, 5.8164]], "species": ["Sr", "Re", "Os", "Os"], "frac_coords": [[0.0000, 0.0000, 0.0000], [0.7826, 0.7826, 0.3615], [0.2276, 0.2276, 0.6830], [0.5081, 0.5081, 0.4969]]}